Tm3GaI3: relaxed, PBE.

Values from the calculation:
The value obtained for the uncorrected formation energy is -6.634 eV/f.u. The calculation puts the magnetization at 0.00 μB/f.u. Its total DFT energy (no corrections) is -0.29112 Ry/atom.

Cell lengths 10.4474, 10.4474, 10.4474 Å; angles 109.47, 109.47, 109.47 degrees
Last column: nearest neighbours and their distance in Å.
Atoms (fractional coordinates):
I 0.0064 0.2500 0.9936  4 Tm 3.12-3.26
Ga 0.0000 0.0000 0.2500  6 Tm 2.80
Ga 0.7500 0.2500 0.2500  6 Tm 2.80
Tm 0.7691 0.7500 0.2309  2 Ga 2.80, 2 I 3.12
I 0.7500 0.9936 0.5064  4 Tm 3.12-3.26
Tm 0.9809 0.2309 0.4618  2 Ga 2.80, 2 I 3.12
Ga 0.7500 0.5000 0.0000  6 Tm 2.80
Tm 0.2500 0.2309 0.2691  2 Ga 2.80, 2 I 3.12
I 0.4936 0.5064 0.2500  4 Tm 3.12-3.26
Tm 0.9809 0.7500 0.0191  2 Ga 2.80, 2 I 3.12
Ga 0.5000 0.2500 0.5000  6 Tm 2.80
Tm 0.9618 0.4809 0.2309  2 Ga 2.80, 2 I 3.12
I 0.2564 0.5128 0.5064  4 Tm 3.12-3.26
Tm 0.5382 0.2691 0.0191  2 Ga 2.80, 2 I 3.12
Tm 0.2500 0.0191 0.4809  2 Ga 2.80, 2 I 3.12
I 0.4936 0.9872 0.7436  4 Tm 3.12-3.26
I 0.7500 0.7564 0.7436  4 Tm 3.12-3.26
I 0.0128 0.5064 0.7564  4 Tm 3.12-3.26
Tm 0.7691 0.0191 0.0382  2 Ga 2.80, 2 I 3.12
Tm 0.5191 0.0382 0.2691  2 Ga 2.80, 2 I 3.12
I 0.4872 0.7436 0.9936  4 Tm 3.12-3.26
Tm 0.5191 0.4809 0.7500  2 Ga 2.80, 2 I 3.12
Tm 0.7309 0.4618 0.4809  2 Ga 2.80, 2 I 3.12
I 0.2564 0.7436 0.2500  4 Tm 3.12-3.26
Tm 0.7309 0.2691 0.7500  2 Ga 2.80, 2 I 3.12
I 0.0064 0.7564 0.5128  4 Tm 3.12-3.26
I 0.2436 0.9936 0.9872  4 Tm 3.12-3.26
I 0.2436 0.2500 0.7564  4 Tm 3.12-3.26